Computed, not measured: a relaxed structure of Re2TcRh at the PBE level of DFT.

a = 4.7741 Å, b = 4.7741 Å, c = 4.7651 Å
α = 80.61°, β = 80.61°, γ = 33.25°
Last column: nearest neighbours and their distance in Å.
Fractional coordinates of all 4 atoms:
Re: 0.9994 0.9994 0.0022  6 Re 2.73-2.76, 3 Tc 2.75, 3 Rh 2.75-2.76
Re: 0.5006 0.5006 0.4978  6 Re 2.73-2.76, 3 Tc 2.75, 3 Rh 2.75-2.76
Tc: 0.2500 0.2500 0.2500  2 Tc 2.73, 4 Rh 2.75, 6 Re 2.75
Rh: 0.7500 0.7500 0.7500  2 Rh 2.73, 4 Tc 2.75, 6 Re 2.75-2.76

- Space group: No. 12
- Density: 16.223 g cm⁻³
- DFT formation energy: -6 meV per atom
- Offset from the most stable computed form: 37 meV/atom

Computed, not measured: a relaxed structure of ReTcRh2 at the PBE level of DFT.

a = 4.3741 Å, b = 4.3741 Å, c = 4.3741 Å
α = 60.00°, β = 60.00°, γ = 60.00°
Last column: nearest neighbours and their distance in Å.
Fractional coordinates of all 4 atoms:
Rh: 0.2500 0.2500 0.2500  4 Re 2.68, 4 Tc 2.68
Rh: 0.7500 0.7500 0.7500  4 Re 2.68, 4 Tc 2.68
Tc: 0.0000 0.0000 0.0000  8 Rh 2.68
Re: 0.5000 0.5000 0.5000  8 Rh 2.68

- Space group: No. 225
- Density: 13.750 g cm⁻³
- DFT formation energy: 482 meV per atom
- Offset from the most stable computed form: 660 meV/atom

Computed, not measured: a relaxed structure of ReTc2Rh at the PBE level of DFT.

a = 4.7792 Å, b = 4.7792 Å, c = 2.7146 Å
α = 90.00°, β = 90.00°, γ = 110.00°
Last column: nearest neighbours and their distance in Å.
Fractional coordinates of all 4 atoms:
Tc: 0.0000 0.0000 0.0000  4 Tc 2.71-2.74, 4 Rh 2.75, 4 Re 2.75
Tc: 0.5000 0.5000 0.0000  4 Tc 2.71-2.74, 4 Re 2.75, 4 Rh 2.75
Rh: 0.0000 0.5000 0.5000  2 Rh 2.71, 2 Re 2.74, 8 Tc 2.75
Re: 0.5000 0.0000 0.5000  2 Re 2.71, 2 Rh 2.74, 8 Tc 2.75

- Space group: No. 65
- Density: 13.826 g cm⁻³
- DFT formation energy: -10 meV per atom
- Offset from the most stable computed form: 33 meV/atom

Computed, not measured: a relaxed structure of ReTcRh2 at the PBE level of DFT.

a = 4.7135 Å, b = 4.7135 Å, c = 4.7947 Å
α = 81.00°, β = 81.00°, γ = 33.29°
Last column: nearest neighbours and their distance in Å.
Fractional coordinates of all 4 atoms:
Rh: 0.7539 0.7539 0.7415  3 Tc 2.69-2.71, 5 Rh 2.70-2.82, 4 Re 2.75
Rh: 0.9957 0.9957 0.0089  3 Re 2.68-2.71, 5 Rh 2.70-2.82, 4 Tc 2.75-2.76
Tc: 0.5007 0.5007 0.5065  7 Rh 2.69-2.76, 2 Tc 2.70, 3 Re 2.75-2.77
Re: 0.2497 0.2497 0.2431  7 Rh 2.68-2.75, 2 Re 2.70, 3 Tc 2.75-2.77

- Space group: No. 8
- Density: 14.105 g cm⁻³
- DFT formation energy: -60 meV per atom
- Offset from the most stable computed form: 118 meV/atom